1.
# GGA-PBE ZrTlPb2, relaxed
data_ZrTlPb2
_cell_length_a 7.6436
_cell_length_b 7.6436
_cell_length_c 7.6436
_cell_angle_alpha 90.00
_cell_angle_beta 90.00
_cell_angle_gamma 90.00
_symmetry_space_group_name_H-M 'F -4 3 m'
_symmetry_Int_Tables_number 216
_symmetry_space_group_name_Hall 'F -4 2 3'
loop_
_atom_site_label
_atom_site_fract_x
_atom_site_fract_y
_atom_site_fract_z
Zr1 0.0000 0.0000 0.0000
Tl1 0.2500 0.2500 0.7500
Pb1 0.0000 0.0000 0.5000
Pb2 0.2500 0.2500 0.2500
# Offset from the most stable computed form: 124 kJ/mol of formula units
# Theoretical density: 10.56 g cm⁻³
# DFT formation energy: 299 meV per atom

***

2.
# GGA-PBE ZrTlPb2, relaxed
data_ZrTlPb2
_cell_length_a 3.3440
_cell_length_b 3.3440
_cell_length_c 9.9957
_cell_angle_alpha 90.00
_cell_angle_beta 90.00
_cell_angle_gamma 90.00
_symmetry_space_group_name_H-M 'P 4/m m m'
_symmetry_Int_Tables_number 123
_symmetry_space_group_name_Hall '-P 4 2'
loop_
_atom_site_label
_atom_site_fract_x
_atom_site_fract_y
_atom_site_fract_z
Zr1 0.0000 0.0000 0.0000
Tl1 0.0000 0.0000 0.5000
Pb1 0.5000 0.5000 0.2253
# Offset from the most stable computed form: 0 kJ/mol of formula units
# Theoretical density: 10.55 g cm⁻³
# DFT formation energy: -22 meV per atom

***

3.
# GGA-PBE ZrTl3Pb, relaxed
data_ZrTl3Pb
_cell_length_a 5.8101
_cell_length_b 5.8101
_cell_length_c 5.8101
_cell_angle_alpha 90.00
_cell_angle_beta 90.00
_cell_angle_gamma 90.00
_symmetry_space_group_name_H-M 'P m -3 m'
_symmetry_Int_Tables_number 221
_symmetry_space_group_name_Hall '-P 4 2 3'
loop_
_atom_site_label
_atom_site_fract_x
_atom_site_fract_y
_atom_site_fract_z
Zr1 0.0000 0.0000 0.0000
Tl1 0.0000 0.5000 0.5000
Pb1 0.5000 0.5000 0.5000
# Theoretical density: 7.72 g cm⁻³
# DFT formation energy: 1053 meV per atom

***

4.
# GGA-PBE Zr2TlPb, relaxed
data_Zr2TlPb
_cell_length_a 3.2563
_cell_length_b 3.2563
_cell_length_c 9.7530
_cell_angle_alpha 90.00
_cell_angle_beta 90.00
_cell_angle_gamma 90.00
_symmetry_space_group_name_H-M 'P 4 m m'
_symmetry_Int_Tables_number 99
loop_
_symmetry_equiv_pos_as_xyz
'x,y,z'
'-y,x,z'
'-x,-y,z'
'y,-x,z'
'-x,y,z'
'y,x,z'
'x,-y,z'
'-y,-x,z'
loop_
_atom_site_label
_atom_site_fract_x
_atom_site_fract_y
_atom_site_fract_z
Zr1 0.0000 0.0000 0.0000
Zr2 0.5000 0.5000 0.2199
Tl1 0.5000 0.5000 0.7563
Pb1 0.0000 0.0000 0.4683
# Offset from the most stable computed form: 58 kJ/mol of formula units
# Theoretical density: 9.54 g cm⁻³
# DFT formation energy: 48 meV per atom

***

5.
# GGA-PBE ZrTlPb2, relaxed
data_ZrTlPb2
_cell_length_a 3.4180
_cell_length_b 5.5583
_cell_length_c 5.6532
_cell_angle_alpha 90.00
_cell_angle_beta 90.00
_cell_angle_gamma 90.00
_symmetry_space_group_name_H-M 'P m m m'
_symmetry_Int_Tables_number 47
loop_
_symmetry_equiv_pos_as_xyz
'x,y,z'
'-x,-y,-z'
'-x,-y,z'
'x,y,-z'
'x,-y,-z'
'-x,y,z'
'-x,y,-z'
'x,-y,z'
loop_
_atom_site_label
_atom_site_fract_x
_atom_site_fract_y
_atom_site_fract_z
Zr1 0.0000 0.0000 0.0000
Tl1 0.5000 0.0000 0.5000
Pb1 0.0000 0.5000 0.5000
Pb2 0.5000 0.5000 0.0000
# Offset from the most stable computed form: 49 kJ/mol of formula units
# Theoretical density: 10.98 g cm⁻³
# DFT formation energy: 104 meV per atom

***

6.
# GGA-PBE ZrTlPb2, relaxed
data_ZrTlPb2
_cell_length_a 8.6240
_cell_length_b 8.6240
_cell_length_c 6.2799
_cell_angle_alpha 90.00
_cell_angle_beta 90.00
_cell_angle_gamma 90.00
_symmetry_space_group_name_H-M 'I -4 2 d'
_symmetry_Int_Tables_number 122
_symmetry_space_group_name_Hall 'I -4 2bw'
loop_
_atom_site_label
_atom_site_fract_x
_atom_site_fract_y
_atom_site_fract_z
Zr1 0.0000 0.0000 0.0000
Tl1 0.0000 0.0000 0.5000
Pb1 0.2299 0.7500 0.1250
# Offset from the most stable computed form: 119 kJ/mol of formula units
# Theoretical density: 10.10 g cm⁻³
# DFT formation energy: 287 meV per atom

***

7.
# GGA-PBE Zr2TlPb, relaxed
data_Zr2TlPb
_cell_length_a 3.2769
_cell_length_b 4.3897
_cell_length_c 6.5143
_cell_angle_alpha 90.00
_cell_angle_beta 90.00
_cell_angle_gamma 90.00
_symmetry_space_group_name_H-M 'P m m m'
_symmetry_Int_Tables_number 47
loop_
_symmetry_equiv_pos_as_xyz
'x,y,z'
'-x,-y,-z'
'-x,-y,z'
'x,y,-z'
'x,-y,-z'
'-x,y,z'
'-x,y,-z'
'x,-y,z'
loop_
_atom_site_label
_atom_site_fract_x
_atom_site_fract_y
_atom_site_fract_z
Zr1 0.0000 0.0000 0.2460
Tl1 0.5000 0.5000 0.0000
Pb1 0.5000 0.5000 0.5000
# Offset from the most stable computed form: 0 kJ/mol of formula units
# Theoretical density: 10.53 g cm⁻³
# DFT formation energy: -101 meV per atom

***

8.
# GGA-PBE Zr2TlPb, relaxed
data_Zr2TlPb
_cell_length_a 11.9834
_cell_length_b 3.2881
_cell_length_c 5.3716
_cell_angle_alpha 90.00
_cell_angle_beta 114.26
_cell_angle_gamma 90.00
_symmetry_space_group_name_H-M 'C 1 m 1'
_symmetry_Int_Tables_number 8
loop_
_symmetry_equiv_pos_as_xyz
'x,y,z'
'x,-y,z'
'x+1/2,y+1/2,z'
'x+1/2,-y+1/2,z'
loop_
_atom_site_label
_atom_site_fract_x
_atom_site_fract_y
_atom_site_fract_z
Zr1 0.0000 0.0000 0.0000
Zr2 0.2331 0.5000 0.3686
Tl1 0.2490 0.0000 0.8877
Pb1 0.4852 0.0000 0.4844
# Offset from the most stable computed form: 22 kJ/mol of formula units
# Theoretical density: 10.22 g cm⁻³
# DFT formation energy: -44 meV per atom

***

Please write out number 1 again, unchanged.
# GGA-PBE ZrTlPb2, relaxed
data_ZrTlPb2
_cell_length_a 7.6436
_cell_length_b 7.6436
_cell_length_c 7.6436
_cell_angle_alpha 90.00
_cell_angle_beta 90.00
_cell_angle_gamma 90.00
_symmetry_space_group_name_H-M 'F -4 3 m'
_symmetry_Int_Tables_number 216
_symmetry_space_group_name_Hall 'F -4 2 3'
loop_
_atom_site_label
_atom_site_fract_x
_atom_site_fract_y
_atom_site_fract_z
Zr1 0.0000 0.0000 0.0000
Tl1 0.2500 0.2500 0.7500
Pb1 0.0000 0.0000 0.5000
Pb2 0.2500 0.2500 0.2500
# Offset from the most stable computed form: 124 kJ/mol of formula units
# Theoretical density: 10.56 g cm⁻³
# DFT formation energy: 299 meV per atom